#1
Crystalline LiLa2Zn2 at its relaxed geometry, computed with PBE-GGA. Values from VASP.

**Volume**: 25.9 Å³/atom
**Space group**: P4/mbm, No. 127

Cell and atoms, written as Quantum ESPRESSO input:
```
&SYSTEM
  ibrav = 0, nat = 10, ntyp = 3
/
ATOMIC_SPECIES
Li 6.94 Li.upf
La 138.91 La.upf
Zn 65.41 Zn.upf
ATOMIC_POSITIONS angstrom
Li 0.000 0.000 0.000
Li 3.720 3.720 0.000
La 6.275 2.555 2.340
La 2.555 1.165 2.340
La 4.885 6.275 2.340
La 1.165 4.885 2.340
Zn 4.741 1.021 0.000
Zn 2.699 6.419 0.000
Zn 1.021 2.699 0.000
Zn 6.419 4.741 0.000
CELL_PARAMETERS angstrom
7.440 0.000 0.000
0.000 7.440 0.000
0.000 0.000 4.681
```

=====

#2
Crystalline LiLa2Zn2 at its relaxed geometry, computed with PBE-GGA. Values from VASP.

**Volume**: 29.5 Å³/atom
**Space group**: I4/mmm, No. 139

Cell and atoms, written as Quantum ESPRESSO input:
```
&SYSTEM
  ibrav = 0, nat = 5, ntyp = 3
/
ATOMIC_SPECIES
Zn 65.41 Zn.upf
Li 6.94 Li.upf
La 138.91 La.upf
ATOMIC_POSITIONS angstrom
Zn 4.756 4.756 5.304
Zn 2.378 2.378 1.205
Li 0.000 0.000 0.000
La 2.378 4.756 3.255
La 4.756 2.378 3.255
CELL_PARAMETERS angstrom
4.756 0.000 0.000
0.000 4.756 0.000
2.378 2.378 6.509
```

=====

Most stable structure, least stable structure: #1, #2.

=====

#1
Crystalline LiLa2Zn2 at its relaxed geometry, computed with PBE-GGA. Values from VASP.

**Volume**: 27.2 Å³/atom
**Space group**: I4/mmm, No. 139

Cell and atoms, written as Quantum ESPRESSO input:
```
&SYSTEM
  ibrav = 0, nat = 5, ntyp = 3
/
ATOMIC_SPECIES
Zn 65.41 Zn.upf
Li 6.94 Li.upf
La 138.91 La.upf
ATOMIC_POSITIONS angstrom
Zn 1.898 3.797 4.718
Zn 3.797 1.898 4.718
Li 0.000 0.000 0.000
La 1.898 1.898 2.129
La 3.797 3.797 7.307
CELL_PARAMETERS angstrom
3.797 0.000 0.000
0.000 3.797 0.000
1.898 1.898 9.436
```

=====

#2
Crystalline LiLa2Zn2 at its relaxed geometry, computed with PBE-GGA. Values from VASP.

**Volume**: 24.4 Å³/atom
**Space group**: C2/m, No. 12

Cell and atoms, written as Quantum ESPRESSO input:
```
&SYSTEM
  ibrav = 0, nat = 10, ntyp = 3
/
ATOMIC_SPECIES
La 138.91 La.upf
Zn 65.41 Zn.upf
Li 6.94 Li.upf
ATOMIC_POSITIONS angstrom
La 4.245 1.510 4.261
La 2.229 3.238 1.636
La 5.464 1.208 10.609
La 3.448 2.935 7.984
Zn 6.489 3.195 5.828
Zn 5.496 4.249 10.462
Zn 2.197 0.196 1.783
Zn 1.204 1.251 6.417
Li 3.618 -0.090 7.190
Li 4.075 4.536 5.055
CELL_PARAMETERS angstrom
4.932 0.000 1.057
2.416 4.778 0.763
0.345 -0.333 10.425
```

=====

#3
Crystalline LiLa2Zn2 at its relaxed geometry, computed with PBE-GGA. Values from VASP.

**Volume**: 26.8 Å³/atom
**Space group**: P4/mbm, No. 127

Cell and atoms, written as Quantum ESPRESSO input:
```
&SYSTEM
  ibrav = 0, nat = 10, ntyp = 3
/
ATOMIC_SPECIES
Li 6.94 Li.upf
La 138.91 La.upf
Zn 65.41 Zn.upf
ATOMIC_POSITIONS angstrom
Li 0.000 0.000 0.000
Li 4.517 4.517 0.000
La 6.077 1.559 0.000
La 2.958 7.475 0.000
La 1.559 2.958 0.000
La 7.475 6.077 0.000
Zn 1.081 5.598 1.642
Zn 5.598 7.953 1.642
Zn 3.436 1.081 1.642
Zn 7.953 3.436 1.642
CELL_PARAMETERS angstrom
9.034 0.000 0.000
0.000 9.034 0.000
0.000 0.000 3.284
```

=====

Most stable structure, least stable structure: #2, #1.

=====

#1
Crystalline LiLaZn at its relaxed geometry, computed with PBE-GGA. Values from VASP.

**Volume**: 24.9 Å³/atom
**Space group**: Pmm2, No. 25

Cell and atoms, written as Quantum ESPRESSO input:
```
&SYSTEM
  ibrav = 0, nat = 3, ntyp = 3
/
ATOMIC_SPECIES
Zn 65.41 Zn.upf
Li 6.94 Li.upf
La 138.91 La.upf
ATOMIC_POSITIONS angstrom
Zn -3.267 0.939 3.266
Li -3.473 -0.490 1.145
La -0.650 -1.506 -0.047
CELL_PARAMETERS angstrom
-4.930 2.157 -0.973
-1.239 -3.001 -0.377
-0.873 -0.152 4.083
```

=====

#2
Crystalline LiLaZn at its relaxed geometry, computed with PBE-GGA. Values from VASP.

**Volume**: 24.1 Å³/atom
**Space group**: Ima2, No. 46

Cell and atoms, written as Quantum ESPRESSO input:
```
&SYSTEM
  ibrav = 0, nat = 18, ntyp = 3
/
ATOMIC_SPECIES
Li 6.94 Li.upf
La 138.91 La.upf
Zn 65.41 Zn.upf
ATOMIC_POSITIONS angstrom
Li 3.474 0.000 0.000
Li 4.636 3.940 2.789
Li 1.037 1.146 0.812
Li 7.073 5.088 3.599
Li 4.636 6.236 4.409
Li 8.236 9.030 6.386
La 6.992 1.509 4.026
La 9.552 6.483 1.628
La 6.992 8.667 3.173
La 9.552 3.693 5.571
La 6.998 5.882 7.119
La 6.998 4.294 0.079
Zn 5.450 6.478 1.624
Zn 9.048 3.396 2.403
Zn 5.450 3.698 5.574
Zn 9.048 6.780 4.796
Zn 5.449 1.692 1.197
Zn 12.647 8.485 6.001
CELL_PARAMETERS angstrom
7.198 0.000 0.000
3.599 7.878 -0.344
3.599 2.299 7.543
```

=====

Most stable structure, least stable structure: #2, #1.

=====

#1
Crystalline LiLaZn at its relaxed geometry, computed with PBE-GGA. Values from VASP.

**Volume**: 23.8 Å³/atom
**Space group**: I4mm, No. 107

Cell and atoms, written as Quantum ESPRESSO input:
```
&SYSTEM
  ibrav = 0, nat = 3, ntyp = 3
/
ATOMIC_SPECIES
Zn 65.41 Zn.upf
La 138.91 La.upf
Li 6.94 Li.upf
ATOMIC_POSITIONS angstrom
Zn -4.475 3.934 5.063
La 1.588 1.864 2.880
Li -1.112 2.786 3.852
CELL_PARAMETERS angstrom
-3.516 3.998 1.964
-3.796 0.906 4.120
1.656 1.840 2.856
```

=====

#2
Crystalline LiLaZn at its relaxed geometry, computed with PBE-GGA. Values from VASP.

**Volume**: 25.8 Å³/atom
**Space group**: Cm, No. 8

Cell and atoms, written as Quantum ESPRESSO input:
```
&SYSTEM
  ibrav = 0, nat = 6, ntyp = 3
/
ATOMIC_SPECIES
Li 6.94 Li.upf
Zn 65.41 Zn.upf
La 138.91 La.upf
ATOMIC_POSITIONS angstrom
Li 5.640 0.000 5.419
Li 6.533 1.736 2.389
Zn 4.297 1.736 3.849
Zn 5.190 0.000 0.818
La 1.481 1.736 5.121
La 2.374 0.000 2.090
CELL_PARAMETERS angstrom
7.352 0.000 -0.007
0.000 3.473 0.000
-1.786 0.000 6.061
```

=====

Most stable structure, least stable structure: #1, #2.